(1)
The following is a DFT calculation (PBE) of a relaxed structure of La2Pm2ErCd5.

```
20
Lattice="4.850 0.000 0.000 0.000 10.788 0.000 0.000 0.000 10.788" Properties=species:S:1:pos:R:3 pbc="T T T"
Pm 0.000 6.752 9.430
Cd 2.425 10.082 2.050
Pm 0.000 1.358 6.752
Cd 2.425 4.688 3.345
Cd 2.425 7.444 4.688
Pm 0.000 4.036 1.358
La 0.000 3.506 8.900
Er 0.000 5.394 5.394
La 0.000 7.283 1.889
Cd 2.425 2.050 0.706
Cd 2.425 0.706 8.739
La 0.000 1.889 3.506
La 0.000 8.900 7.283
Pm 0.000 9.430 4.036
Er 0.000 0.000 0.000
Cd 2.425 3.345 6.100
Cd 2.425 8.739 10.082
Cd 2.425 0.000 5.394
Cd 2.425 5.394 0.000
Cd 2.425 6.100 7.444
```

Properties
- Total DFT energy (no corrections): -3.05 eV per atom
- Space-group type: P4/mbm
- ΔE_f: -0.200 eV per atom

=====

(2)
The following is a DFT calculation (PBE) of a relaxed structure of KCdTe2I.

```
5
Lattice="-4.884 -4.518 0.552 4.499 -4.915 -0.428 0.675 0.057 6.442" Properties=species:S:1:pos:R:3 pbc="T T T"
I 0.337 0.028 3.221
K 0.000 0.000 0.000
Cd 0.145 -4.688 3.283
Te -2.442 -2.259 0.276
Te 2.249 -2.457 -0.214
```

Properties
- Distance to the lowest polymorph of the same formula: 748 meV/atom
- Formation energy (no corrections): 0.44 eV per atom
- Total DFT energy (no corrections): -1.53 eV per atom
- Space-group type: P4/mmm